(1)
Entry from the Open Quantum Materials Database: TaZnCoRe after structural relaxation (GGA-PBE).

Summary:
E above lowest polymorph: 0.0 meV per atom
V: 14.40 Å³ per atom
energy of formation: 0.05 eV per atom
total magnetic moment: 0.488 μB/f.u.

Lattice parameters (Å, degrees): 6.130 6.130 6.130 90.00 90.00 90.00
Space group F-43m (No. 216)
Symmetry-distinct sites (fractional):
Ta1 0.000 0.000 0.000 [4 per cell]
Zn1 0.000 0.000 0.500 [4 per cell]
Co1 0.250 0.250 0.750 [4 per cell]
Re1 0.250 0.250 0.250 [4 per cell]


(2)
Entry from the Open Quantum Materials Database: TlCoReTc after structural relaxation (GGA-PBE).

Summary:
E above lowest polymorph: 0.0 meV per atom
V: 15.50 Å³ per atom
total magnetic moment: 2.064 μB/f.u.

Lattice parameters (Å, degrees): 6.283 6.283 6.283 90.00 90.00 90.00
Space group F-43m (No. 216)
Symmetry-distinct sites (fractional):
Tl1 0.000 0.000 0.000 [4 per cell]
Co1 0.250 0.250 0.250 [4 per cell]
Re1 0.000 0.000 0.500 [4 per cell]
Tc1 0.250 0.250 0.750 [4 per cell]


(3)
Entry from the Open Quantum Materials Database: Th3Co2Re after structural relaxation (GGA-PBE).

Summary:
V: 21.38 Å³ per atom
energy of formation: -0.05 eV per atom
total magnetic moment: 0.001 μB/f.u.

Lattice parameters (Å, degrees): 3.975 3.975 8.121 90.00 90.00 90.00
Space group P-4m2 (No. 115)
Symmetry-distinct sites (fractional):
Th1 0.000 0.000 0.000 [1 per cell]
Th2 0.000 0.500 0.650 [2 per cell]
Co1 0.000 0.500 0.286 [2 per cell]
Re1 0.500 0.500 0.000 [1 per cell]